Entry 1:
A relaxed structure of SrAcNpO6, computed with PBE.

The space group is P-31c (No. 163) and the conventional cell measures 6.2318, 6.2318 and 9.4731 Å, with angles of 90.00, 90.00 and 120.00 degrees. The asymmetric unit holds Sr at (0.0000, 0.0000, 0.0000), Ac at (0.3333, 0.6667, 0.2500), Np at (0.3333, 0.6667, 0.7500) and O at (0.0547, 0.3899, 0.6371).

The size of the total moment comes out at 0.00 μB per atom. As for the uncorrected formation energy: -2929.8 meV/atom.

Entry 2:
A relaxed structure of TlTe2I8, computed with PBE.

The space group is C2/m (No. 12) and the conventional cell measures 13.337, 10.503 and 9.156 Å, with angles of 90.00, 114.56 and 90.00 degrees. The asymmetric unit holds Tl at (0.000, 0.000, 0.000), Te at (0.139, 0.000, 0.636), I at (0.090, 0.221, 0.778), I at (0.118, 0.500, 0.121) and I at (0.220, 0.000, 0.385).

For the distance to the lowest polymorph of the same formula, the calculation gives 0 meV/atom. The size of the total moment comes out at 0.00 μB per atom. As for the uncorrected formation energy: -117.8 meV/atom.

Entry 3:
A relaxed structure of CaPt5Pb, computed with PBE.

The space group is Pnma (No. 62) and the conventional cell measures 8.821, 5.516 and 11.138 Å, with angles of 90.00, 90.00 and 90.00 degrees. The asymmetric unit holds Ca at (0.242, 0.250, 0.054), Pt at (0.078, 0.502, 0.814), Pt at (0.080, 0.250, 0.598), Pt at (0.102, 0.750, 0.022), Pt at (0.171, 0.750, 0.261) and Pb at (0.124, 0.250, 0.357).

As for the formation energy: -0.41 eV per atom. The size of the total moment comes out at 0.00 μB per atom.

Entry 4:
A relaxed structure of MgBiPt2, computed with PBE.

The space group is P4/mmm (No. 123) and the conventional cell measures 4.541, 4.541 and 3.703 Å, with angles of 90.00, 90.00 and 90.00 degrees. The asymmetric unit holds Mg at (0.000, 0.000, 0.000), Bi at (0.500, 0.500, 0.000) and Pt at (0.000, 0.500, 0.500).

As for the formation energy: -0.37 eV per atom. The size of the total moment comes out at 0.00 μB per atom.

Number 1: uncorrected energy -0.611 Ry per atom. Number 2: uncorrected energy -0.149 Ry per atom. Number 3: uncorrected energy -0.407 Ry per atom. Number 4: uncorrected energy -0.349 Ry per atom.